A geometry-optimized KI2O4 structure, computed with PBE-GGA.

```
KI2O4
1.0
7.614 -0.938 1.892
-4.851 5.943 1.892
-0.517 -0.938 7.828
O I K
8 4 2
Direct
0.203 0.067 0.376
0.317 0.953 0.876
0.807 0.683 0.363
0.829 0.193 0.124
0.421 0.797 0.136
0.933 0.557 0.864
0.443 0.579 0.624
0.047 0.171 0.637
0.625 0.131 0.994
0.125 0.619 0.006
0.869 0.875 0.506
0.381 0.375 0.494
0.250 0.750 0.500
0.000 0.000 0.000
```

Results
Distance to the lowest polymorph of the same formula   10.8 meV per atom
ΔE_f (raw)   -505 meV/atom

---

A geometry-optimized GeP2S structure, computed with PBE-GGA.

```
GeP2S
1.0
0.000 3.174 3.174
3.174 0.000 3.174
3.174 3.174 0.000
P S Ge
2 1 1
Direct
0.750 0.750 0.750
0.250 0.250 0.250
0.000 0.000 0.000
0.500 0.500 0.500
```

Results
Distance to the lowest polymorph of the same formula   268.4 meV per atom
ΔE_f (raw)   709 meV/atom

---

A geometry-optimized La2CdNi4Ge3 structure, computed with PBE-GGA.

```
La2CdNi4Ge3
1.0
-3.511 -0.125 -2.392
1.526 -3.388 -2.063
-4.349 -6.037 6.700
La Ni Cd Ge
2 4 1 3
Direct
0.500 0.000 0.240
0.000 0.500 0.760
0.500 0.000 0.643
0.500 0.500 0.000
0.000 0.000 0.000
0.000 0.500 0.357
0.500 0.500 0.500
0.500 0.000 0.880
0.000 0.000 0.500
0.000 0.500 0.120
```

Results
Energy of formation from the pure elements   -13.2 kcal/mol of atoms

---

A geometry-optimized Dy7Y12In structure, computed with PBE-GGA.

```
Dy7Y12In
1.0
8.404 1.184 1.777
-1.200 8.402 1.777
-1.200 -1.596 8.438
Dy Y In
7 12 1
Direct
0.145 0.389 0.070
0.855 0.611 0.930
0.500 0.500 0.500
0.930 0.855 0.611
0.070 0.145 0.389
0.611 0.930 0.855
0.389 0.070 0.145
0.251 0.744 0.865
0.612 0.142 0.501
0.858 0.499 0.388
0.865 0.251 0.744
0.501 0.612 0.142
0.135 0.749 0.256
0.499 0.388 0.858
0.744 0.865 0.251
0.142 0.501 0.612
0.256 0.135 0.749
0.749 0.256 0.135
0.388 0.858 0.499
0.000 0.000 0.000
```

Results
Energy of formation from the pure elements   3.9 kcal/mol of atoms

---

A geometry-optimized CeHoSc14 structure, computed with PBE-GGA.

```
CeHoSc14
1.0
6.625 -0.844 0.000
-2.560 6.168 0.000
0.000 0.000 10.436
Sc Ho Ce
14 1 1
Direct
0.334 0.166 0.500
0.667 0.333 0.748
0.667 0.333 0.252
0.165 0.835 0.745
0.669 0.836 0.743
0.164 0.331 0.743
0.832 0.667 0.000
0.165 0.835 0.255
0.834 0.666 0.500
0.833 0.167 0.500
0.333 0.667 0.500
0.333 0.168 0.000
0.164 0.331 0.257
0.669 0.836 0.257
0.335 0.665 0.000
0.836 0.164 0.000
```

Results
Energy of formation from the pure elements   0.4 kcal/mol of atoms

---

A geometry-optimized Pu6SbAu5 structure, computed with PBE-GGA.

```
Pu6SbAu5
1.0
5.304 -0.006 -1.487
-4.072 7.096 -4.341
-0.313 -1.705 9.098
Pu Au Sb
6 5 1
Direct
0.753 0.253 0.253
0.748 0.579 0.918
0.247 0.747 0.747
0.252 0.421 0.082
0.252 0.082 0.421
0.748 0.918 0.579
0.000 0.334 0.666
0.000 0.666 0.334
0.500 0.835 0.165
0.500 0.165 0.835
0.500 0.500 0.500
0.000 0.000 0.000
```

Results
ΔE_f (raw)   -427 meV/atom